Entry 1:
Material: Nd10Y4Th
Method: DFT, PBE
State: relaxed

Unit cell a=11.006 b=8.992 c=8.992 alpha=68.01 beta=52.27 gamma=52.27
Atoms (fractional coordinates):
Nd: 0.054 0.343 0.894
Nd: 0.397 0.894 0.657
Nd: 0.052 0.894 0.657
Nd: 0.291 0.657 0.106
Nd: 0.709 0.343 0.894
Nd: 0.948 0.106 0.343
Nd: 0.946 0.657 0.106
Nd: 0.750 0.500 0.500
Nd: 0.250 0.500 0.500
Nd: 0.603 0.106 0.343
Y: 0.441 0.338 0.780
Y: 0.779 0.780 0.662
Y: 0.221 0.220 0.338
Y: 0.559 0.662 0.220
Th: 0.000 0.000 0.000

Properties
* formation enthalpy at 0 K: 0.44 eV per atom
* D(E_F): 1.779 states/eV/atom
* total energy: -4.957 eV/atom
* space group: No. 87

Entry 2:
Material: PdRhF2
Method: DFT, PBE
State: relaxed

Unit cell a=4.185 b=4.185 c=4.185 alpha=60.00 beta=60.00 gamma=60.00
Each line ends with the local moment (μB).
Atoms (fractional coordinates):
Rh: 0.000 0.000 0.000  2.01
F: 0.750 0.750 0.750  0.14
F: 0.250 0.250 0.250  0.14
Pd: 0.500 0.500 0.500  0.74

Properties
* excess energy over the best structure of this formula in the dataset: 44.1 kJ/mol of atoms
* raw formation energy: -0.511 eV/f.u.
* D(E_F): 0.917 states/eV/atom
* total energy: -4.200 eV/atom
* space group: No. 225

Entry 3:
Material: DyCd8Pd2
Method: DFT, PBE
State: relaxed

Unit cell a=5.307 b=7.338 c=7.338 alpha=113.03 beta=99.72 gamma=99.72
Atoms (fractional coordinates):
Pd: 0.000 0.307 0.693
Pd: 0.000 0.693 0.307
Cd: 0.106 0.320 0.080
Cd: 0.500 0.257 0.743
Cd: 0.106 0.080 0.320
Cd: 0.894 0.920 0.680
Cd: 0.500 0.743 0.257
Cd: 0.297 0.596 0.596
Cd: 0.894 0.680 0.920
Cd: 0.703 0.404 0.404
Dy: 0.500 0.000 0.000

Properties
* formation enthalpy at 0 K: -0.15 eV per atom
* D(E_F): 0.510 states/eV/atom
* total energy: -2.174 eV/atom
* space group: No. 12

Entry 4:
Material: TiMoN2
Method: DFT, PBE
State: relaxed

Unit cell a=2.900 b=5.411 c=5.016 alpha=90.00 beta=90.00 gamma=90.00
Atoms (fractional coordinates):
Ti: 0.250 0.750 0.920
Ti: 0.750 0.250 0.080
N: 0.750 0.000 0.750
N: 0.250 0.500 0.250
N: 0.750 0.500 0.750
N: 0.250 0.000 0.250
Mo: 0.250 0.250 0.587
Mo: 0.750 0.750 0.413

Properties
* excess energy over the best structure of this formula in the dataset: 0.0 kJ/mol of atoms
* raw formation energy: -4.018 eV/f.u.
* D(E_F): 0.213 states/eV/atom
* total energy: -9.849 eV/atom
* space group: No. 59

Entry 5:
Material: ZrAl2Mo
Method: DFT, PBE
State: relaxed

Unit cell a=3.936 b=3.936 c=10.174 alpha=78.85 beta=78.85 gamma=90.00
Atoms (fractional coordinates):
Al: 0.375 0.356 0.750
Al: 0.644 0.125 0.250
Al: 0.106 0.625 0.250
Al: 0.875 0.894 0.750
Mo: 0.000 0.000 0.000
Mo: 0.750 0.250 0.500
Zr: 0.250 0.750 0.500
Zr: 0.500 0.500 0.000

Properties
* formation enthalpy at 0 K: 0.22 eV per atom
* excess energy over the best structure of this formula in the dataset: 47.3 kJ/mol of atoms
* D(E_F): 0.413 states/eV/atom
* total energy: -6.496 eV/atom
* space group: No. 122

Entry 6:
Material: PrDyHo5Er2
Method: DFT, PBE
State: relaxed

Unit cell a=5.588 b=10.275 c=10.501 alpha=90.00 beta=90.00 gamma=105.78
Atoms (fractional coordinates):
Dy: 0.800 0.601 0.513
Dy: 0.200 0.399 0.013
Ho: 0.478 0.956 0.737
Ho: 0.522 0.044 0.237
Ho: 0.719 0.439 0.813
Ho: 0.982 0.965 0.525
Ho: 0.613 0.225 0.523
Ho: 0.298 0.597 0.710
Ho: 0.281 0.561 0.313
Ho: 0.387 0.775 0.023
Ho: 0.702 0.403 0.210
Ho: 0.018 0.035 0.025
Er: 0.887 0.773 0.819
Er: 0.113 0.227 0.319
Er: 0.889 0.777 0.235
Er: 0.111 0.223 0.735
Pr: 0.416 0.833 0.450
Pr: 0.584 0.167 0.950

Properties
* formation enthalpy at 0 K: 0.16 eV per atom
* D(E_F): 1.611 states/eV/atom
* total energy: -4.435 eV/atom
* space group: No. 36

Entry 7:
Material: CsCeAgBr5
Method: DFT, PBE
State: relaxed

Unit cell a=8.252 b=8.252 c=11.136 alpha=102.84 beta=102.84 gamma=107.21
Each line ends with the local moment (μB).
Atoms (fractional coordinates):
Br: 0.369 0.238 0.069  -0.01
Br: 0.306 0.901 0.594  -0.01
Br: 0.070 0.930 0.250  -0.01
Br: 0.901 0.306 0.094  -0.01
Br: 0.762 0.631 0.431  -0.01
Br: 0.694 0.099 0.406  -0.01
Br: 0.238 0.369 0.569  -0.01
Br: 0.099 0.694 0.906  -0.01
Br: 0.631 0.762 0.931  -0.01
Br: 0.930 0.070 0.750  -0.01
Cs: 0.654 0.346 0.750  0.00
Cs: 0.346 0.654 0.250  0.00
Ag: 0.308 0.692 0.750  0.00
Ag: 0.692 0.308 0.250  0.00
Ce: 0.000 0.000 0.500  0.99
Ce: 0.000 0.000 0.000  0.99

Properties
* raw formation energy: -11.637 eV/f.u.
* D(E_F): 1.101 states/eV/atom
* total energy: -3.705 eV/atom
* space group: No. 15

Entry 8:
Material: ErNbAs2
Method: DFT, PBE
State: relaxed

Unit cell a=3.856 b=3.856 c=6.803 alpha=73.53 beta=73.53 gamma=60.00
Atoms (fractional coordinates):
As: 0.256 0.256 0.231
As: 0.744 0.744 0.769
Nb: 0.000 0.000 0.000
Er: 0.500 0.500 0.500

Properties
* formation enthalpy at 0 K: -0.90 eV per atom
* excess energy over the best structure of this formula in the dataset: 8.2 kJ/mol of atoms
* D(E_F): 0.439 states/eV/atom
* total energy: -6.881 eV/atom
* space group: No. 166

Entry 9:
Material: Y3PbO
Method: DFT, PBE
State: relaxed

Unit cell a=9.220 b=6.516 c=4.666 alpha=69.02 beta=90.01 gamma=111.01
Atoms (fractional coordinates):
Y: 0.588 0.396 0.332
Y: 0.971 0.884 0.088
Y: 0.463 0.901 0.079
Y: 0.342 0.408 0.826
Y: 0.846 0.389 0.836
Y: 0.093 0.377 0.341
O: 0.068 0.289 0.885
O: 0.366 0.496 0.282
Pb: 0.717 0.892 0.584
Pb: 0.217 0.892 0.584

Properties
* raw formation energy: -6.967 eV/f.u.
* D(E_F): 0.985 states/eV/atom
* total energy: -7.005 eV/atom
* space group: No. 12

Entry 10:
Material: Nb3VTe
Method: DFT, PBE
State: relaxed

Unit cell a=5.008 b=5.008 c=5.008 alpha=90.00 beta=90.00 gamma=90.00
Each line ends with the local moment (μB).
Atoms (fractional coordinates):
V: 0.500 0.500 0.500  2.52
Te: 0.000 0.000 0.000  -0.01
Nb: 0.000 0.500 0.000  -0.49
Nb: 0.000 0.000 0.500  -0.49
Nb: 0.500 0.000 0.000  -0.49

Properties
* excess energy over the best structure of this formula in the dataset: 72.5 kJ/mol of atoms
* raw formation energy: 7.945 eV/f.u.
* D(E_F): 1.761 states/eV/atom
* total energy: -6.905 eV/atom
* space group: No. 221

Entry 11:
Material: FeOs2Rh
Method: DFT, PBE
State: relaxed

Unit cell a=4.482 b=4.482 c=2.776 alpha=90.00 beta=90.00 gamma=90.00
Each line ends with the local moment (μB).
Atoms (fractional coordinates):
Os: 0.000 0.000 0.000  0.12
Os: 0.500 0.500 0.000  0.12
Fe: 0.000 0.500 0.500  2.40
Rh: 0.500 0.000 0.500  0.16

Properties
* formation enthalpy at 0 K: 0.46 eV per atom
* excess energy over the best structure of this formula in the dataset: 37.0 kJ/mol of atoms
* D(E_F): 1.362 states/eV/atom
* total energy: -9.107 eV/atom
* space group: No. 123

Entry 12:
Material: LiPuGa6
Method: DFT, PBE
State: relaxed

Unit cell a=4.509 b=5.025 c=6.509 alpha=90.00 beta=90.00 gamma=90.00
Each line ends with the local moment (μB).
Atoms (fractional coordinates):
Ga: 0.000 0.668 0.500  -0.01
Ga: 0.500 0.251 0.000  -0.01
Ga: 0.500 0.837 0.290  0.02
Ga: 0.500 0.837 0.710  0.02
Ga: 0.000 0.183 0.283  0.02
Ga: 0.000 0.183 0.717  0.02
Li: 0.500 0.359 0.500  0.00
Pu: 0.000 0.680 0.000  5.30

Properties
* formation enthalpy at 0 K: -0.23 eV per atom
* excess energy over the best structure of this formula in the dataset: 3.2 kJ/mol of atoms
* D(E_F): 1.230 states/eV/atom
* total energy: -4.527 eV/atom
* space group: No. 25